# 1
8
Lattice="4.137 0.000 0.000 0.000 4.137 0.000 0.000 0.000 8.894" Properties=species:S:1:pos:R:3 comment="PmBeAsPt | Alexandria | GGA-PBE | relaxed" magmom_total_mub_per_cell=0.0 e_form_ev_per_fu=-4.12 energy_ev_per_atom=-5.82 mass_density_g_cm3=9.3 n_ef_per_ev_fu=0.56 pbc="T T T"
Pm 1.034 1.034 1.765
Pm 3.103 3.103 7.129
Be 1.034 1.034 5.458
Be 3.103 3.103 3.436
As 1.034 1.034 7.666
As 3.103 3.103 1.228
Pt 1.034 3.103 4.447
Pt 3.103 1.034 4.447

# 2
10
Lattice="-5.415 5.415 3.381 5.415 -5.415 3.381 5.415 5.415 -3.381" Properties=species:S:1:pos:R:3 comment="Ba5GaBr4 | Alexandria | GGA-PBE | relaxed" magmom_total_mub_per_cell=0.0 energy_ev_per_atom=-3.33 mass_density_g_cm3=4.5 e_form_raw_ev_per_atom=-1.3952 n_ef_per_ev_fu=3.71 pbc="T T T"
Ba 0.000 0.000 0.000
Ba 4.355 2.321 0.000
Ba 3.094 -1.060 3.381
Ba 2.321 6.475 0.000
Ba 1.060 3.094 3.381
Ga 0.000 0.000 3.381
Br 7.500 1.047 0.000
Br 1.047 3.329 0.000
Br 4.367 2.085 3.381
Br -2.085 4.367 3.381

# 3
5
Lattice="3.969 0.000 0.000 0.000 3.969 0.000 0.000 0.000 3.969" Properties=species:S:1:pos:R:3 comment="GeB3Os | Alexandria | GGA-PBE | relaxed" magmom_total_mub_per_cell=0.0 e_form_ev_per_fu=11.87 energy_ev_per_atom=-4.80 mass_density_g_cm3=7.8 relative_energy_kj_per_mol_fu=610 n_ef_per_ev_fu=3.23 pbc="T T T"
Ge 0.000 0.000 0.000
B 0.000 0.000 1.984
B 0.000 1.984 0.000
B 1.984 0.000 0.000
Os 1.984 1.984 1.984

# 4
8
Lattice="2.151 1.242 8.758 -2.151 1.242 8.758 0.000 -2.483 8.758" Properties=species:S:1:pos:R:3 comment="CeAl2GaPt4 | Alexandria | GGA-PBE | relaxed" magmom_total_mub_per_cell=0.5 e_form_ev_per_fu=-7.64 energy_ev_per_atom=-6.03 mass_density_g_cm3=12.4 n_ef_per_ev_fu=5.19 pbc="T T T"
Ce 0.000 0.000 0.000
Al 0.000 0.000 6.349
Al 0.000 0.000 19.926
Ga 0.000 0.000 13.138
Pt 0.000 0.000 3.525
Pt 0.000 0.000 10.569
Pt 0.000 0.000 15.706
Pt 0.000 0.000 22.750

# 5
11
Lattice="6.852 0.000 0.000 0.000 2.739 0.000 -0.740 0.000 8.903" Properties=species:S:1:pos:R:3 comment="Cu2Pd4Pt5 | Alexandria | GGA-PBE | relaxed" magmom_total_mub_per_cell=0.0 e_form_ev_per_fu=-0.15 energy_ev_per_atom=-5.39 mass_density_g_cm3=15.2 relative_energy_kj_per_mol_fu=67 n_ef_per_ev_fu=17.96 pbc="T T T"
Cu 0.310 0.000 1.180
Cu 5.802 0.000 7.722
Pd 0.806 1.369 3.476
Pd 1.219 1.369 8.414
Pd 4.893 1.369 0.489
Pd 5.306 1.369 5.427
Pt 0.829 0.000 5.969
Pt 2.791 0.000 1.801
Pt 3.056 0.000 4.451
Pt 3.322 0.000 7.101
Pt 5.284 0.000 2.934

# 6
12
Lattice="6.323 0.000 0.000 -3.162 5.476 0.000 0.000 0.000 9.653" Properties=species:S:1:pos:R:3 comment="BaDyP2Se8 | Alexandria | GGA-PBE | relaxed" magmom_total_mub_per_cell=0.0 energy_ev_per_atom=-4.47 mass_density_g_cm3=4.9 e_form_raw_ev_per_atom=-0.6978 n_ef_per_ev_fu=11.39 pbc="T T T"
Ba 0.000 0.000 0.000
Dy 0.000 0.000 4.827
P 0.000 3.651 7.272
P 3.162 1.825 2.381
Se -1.934 3.613 2.989
Se 0.000 3.651 9.482
Se 1.000 1.994 2.989
Se 2.227 0.131 6.664
Se 0.935 5.344 2.989
Se 2.162 3.482 6.664
Se 3.162 1.825 0.171
Se 5.096 1.863 6.664

# 7
9
Lattice="3.650 -6.328 0.000 3.650 6.328 0.000 -0.004 0.000 7.867" Properties=species:S:1:pos:R:3 comment="CsNaOsBr6 | Alexandria | GGA-PBE | relaxed" magmom_total_mub_per_cell=2.0 energy_ev_per_atom=-3.40 mass_density_g_cm3=3.8 e_form_raw_ev_per_atom=-0.7963 n_ef_per_ev_fu=7.29 pbc="T T T"
Cs 0.000 0.000 0.000
Na 3.648 -2.106 3.933
Os 3.648 2.110 3.933
Br 1.603 2.174 2.478
Br 2.571 3.848 5.392
Br 4.724 3.848 2.475
Br 2.683 0.308 5.391
Br 4.613 0.308 2.475
Br 5.693 2.174 5.389

# 8
3
Lattice="0.000 2.397 7.561 1.723 0.000 7.561 1.723 2.397 0.000" Properties=species:S:1:pos:R:3 comment="TlCdW | Alexandria | GGA-PBE | relaxed" magmom_total_mub_per_cell=0.0 e_form_ev_per_fu=2.41 energy_ev_per_atom=-4.61 mass_density_g_cm3=13.3 relative_energy_kj_per_mol_fu=10 n_ef_per_ev_fu=1.84 pbc="T T T"
Tl 0.000 0.000 0.000
Cd 1.723 2.397 4.752
W 1.723 2.397 10.022

# 9
6
Lattice="3.990 0.000 0.000 0.000 4.026 0.000 0.000 0.000 7.341" Properties=species:S:1:pos:R:3 comment="Tb2GaSi3 | Alexandria | GGA-PBE | relaxed" magmom_total_mub_per_cell=0.0 energy_ev_per_atom=-5.34 mass_density_g_cm3=6.6 relative_energy_kj_per_mol_fu=12 e_form_raw_ev_per_atom=-0.5834 n_ef_per_ev_fu=2.78 pbc="T T T"
Tb 0.000 0.000 0.000
Tb 0.000 2.013 3.530
Ga 1.995 2.013 6.047
Si 1.995 0.000 2.375
Si 1.995 0.000 4.752
Si 1.995 2.013 1.141

# 10
4
Lattice="3.122 0.000 0.000 0.000 3.122 0.000 0.000 0.000 6.134" Properties=species:S:1:pos:R:3 comment="CoRe2Au | Alexandria | GGA-PBE | relaxed" magmom_total_mub_per_cell=0.8 e_form_ev_per_fu=1.85 energy_ev_per_atom=-8.36 mass_density_g_cm3=17.5 relative_energy_kj_per_mol_fu=87 n_ef_per_ev_fu=2.70 pbc="T T T"
Co 0.000 0.000 0.000
Re 1.561 1.561 1.213
Re 1.561 1.561 4.921
Au 0.000 0.000 3.067

# 11
4
Lattice="2.705 0.000 0.000 0.000 3.813 0.000 0.000 0.000 5.395" Properties=species:S:1:pos:R:3 comment="CrTcIr2 | Alexandria | GGA-PBE | relaxed" magmom_total_mub_per_cell=0.9 e_form_ev_per_fu=-0.70 energy_ev_per_atom=-9.60 mass_density_g_cm3=15.9 relative_energy_kj_per_mol_fu=32 n_ef_per_ev_fu=3.57 pbc="T T T"
Cr 0.000 0.000 0.000
Tc 0.000 0.000 2.698
Ir 1.353 1.906 1.325
Ir 1.353 1.906 4.070

# 12
6
Lattice="0.000 4.148 4.148 4.148 0.000 4.148 4.148 4.148 0.000" Properties=species:S:1:pos:R:3 comment="Sc4HgSb | Alexandria | GGA-PBE | relaxed" magmom_total_mub_per_cell=0.1 energy_ev_per_atom=-4.91 mass_density_g_cm3=5.8 e_form_raw_ev_per_atom=0.0441 n_ef_per_ev_fu=9.28 pbc="T T T"
Sc 1.040 1.040 1.040
Sc 3.108 3.108 1.040
Sc 3.108 1.040 3.108
Sc 1.040 3.108 3.108
Hg 6.222 6.222 6.222
Sb 4.148 4.148 4.148